RbBa3 after structural relaxation, computed with PBEsol. Values from VASP.

Computed properties:
Total moment in μB per atom: 0.00
Energy above the lowest structure with this stoichiometry in meV per atom: 0
DOS at the Fermi energy in states/eV/cell: 5.26
Energy of formation in meV/atom: 136

Structure (Quantum ESPRESSO input):
```
&SYSTEM
  ibrav = 0, nat = 4, ntyp = 2
/
ATOMIC_SPECIES
Rb 85.47 Rb.upf
Ba 137.33 Ba.upf
CELL_PARAMETERS angstrom
-3.1399 3.1399 6.5307
3.1399 -3.1399 6.5307
3.1399 3.1399 -6.5307
ATOMIC_POSITIONS crystal
Rb 0.0000 0.0000 0.0000
Ba 0.2500 0.7500 0.5000
Ba 0.5000 0.5000 0.0000
Ba 0.7500 0.2500 0.5000
```